! Sr2Ni2Ir PBE optimized geometry; values from VASP
&SYSTEM
  ibrav = 0, nat = 10, ntyp = 3
/
ATOMIC_SPECIES
Ni 58.69 Ni.upf
Sr 87.62 Sr.upf
Ir 192.22 Ir.upf
CELL_PARAMETERS angstrom
-5.2978 -0.6560 1.7052
-0.9439 -2.8438 4.7357
-0.4768 6.3204 5.2478
ATOMIC_POSITIONS crystal
Ni 0.7853 0.0031 0.5019
Ni 0.2147 0.9969 0.4981
Ni 0.9969 0.2147 0.9981
Ni 0.0031 0.7853 0.0019
Sr 0.5484 0.7610 0.8420
Sr 0.7610 0.5484 0.3420
Sr 0.2390 0.4516 0.6580
Sr 0.4516 0.2390 0.1580
Ir 0.0922 0.9078 0.2500
Ir 0.9078 0.0922 0.7500
! uncorrected energy	-4.8798	eV per atom
! ΔH_f (0 K)	-0.1223	eV/atom
! energy above the most stable polymorph in this dataset	0.018	eV per atom

! Ce2TcGe6Ir PBE optimized geometry; values from VASP
&SYSTEM
  ibrav = 0, nat = 10, ntyp = 4
/
ATOMIC_SPECIES
Ge 72.64 Ge.upf
Ir 192.22 Ir.upf
Ce 140.12 Ce.upf
Tc 98.00 Tc.upf
CELL_PARAMETERS angstrom
6.8219 -0.0013 -0.0021
-0.0005 6.8180 -0.0014
3.4092 3.4074 4.8285
ATOMIC_POSITIONS crystal
Ge 0.7500 0.2500 0.0000
Ge 0.7500 0.7500 0.4999
Ge 0.7500 0.7500 0.0000
Ge 0.2500 0.7500 0.0000
Ge 0.2500 0.2500 0.5001
Ge 0.2500 0.2500 0.0000
Ir 0.5000 0.5000 0.0000
Ce 0.7500 0.2500 0.5000
Ce 0.2500 0.7500 0.5000
Tc 0.0000 0.0000 0.0000
! uncorrected energy	-5.9042	eV per atom
! ΔH_f (0 K)	-0.0243	eV/atom

! SrLiY2 PBE optimized geometry; values from VASP
&SYSTEM
  ibrav = 0, nat = 4, ntyp = 3
/
ATOMIC_SPECIES
Y 88.91 Y.upf
Sr 87.62 Sr.upf
Li 6.94 Li.upf
CELL_PARAMETERS angstrom
-6.6241 -1.6778 0.5713
-1.8906 -6.5576 0.6653
4.4782 4.3970 2.7625
ATOMIC_POSITIONS crystal
Y 0.5000 0.5000 0.0000
Y 0.0000 0.0000 0.0000
Sr 0.7500 0.2500 0.5000
Li 0.2500 0.7500 0.5000
! uncorrected energy	-3.8447	eV per atom
! ΔH_f (0 K)	0.2863	eV/atom
! energy above the most stable polymorph in this dataset	0.179	eV per atom

! HgAsP2 PBE optimized geometry; values from VASP
&SYSTEM
  ibrav = 0, nat = 4, ntyp = 3
/
ATOMIC_SPECIES
P 30.97 P.upf
As 74.92 As.upf
Hg 200.59 Hg.upf
CELL_PARAMETERS angstrom
3.5610 0.0000 0.0000
0.0000 3.5610 0.0000
0.0000 0.0000 6.4588
ATOMIC_POSITIONS crystal
P 0.5000 0.5000 0.1074
P 0.0000 0.0000 0.1587
As 0.0000 0.0000 0.5190
Hg 0.5000 0.5000 0.7150
! uncorrected energy	-3.6539	eV per atom
! ΔH_f (0 K)	0.2889	eV/atom
! energy above the most stable polymorph in this dataset	0.111	eV per atom

! Sc4OsSe PBE optimized geometry; values from VASP
&SYSTEM
  ibrav = 0, nat = 6, ntyp = 3
/
ATOMIC_SPECIES
Sc 44.96 Sc.upf
Os 190.23 Os.upf
Se 78.96 Se.upf
CELL_PARAMETERS angstrom
0.5170 1.8727 5.1911
-3.2400 4.1237 1.7941
-3.9774 -1.0199 3.7231
ATOMIC_POSITIONS crystal
Sc 0.3729 0.3729 0.8812
Sc 0.8812 0.3729 0.3729
Sc 0.3729 0.8812 0.3729
Sc 0.3729 0.3729 0.3729
Os 0.0000 0.0000 0.0000
Se 0.7500 0.7500 0.7500
! formation energy (no corrections)	426	meV per atom
! uncorrected energy	-6.2477	eV per atom

! TaTe2RhI PBE optimized geometry; values from VASP
&SYSTEM
  ibrav = 0, nat = 5, ntyp = 4
/
ATOMIC_SPECIES
Ta 180.95 Ta.upf
I 126.90 I.upf
Te 127.60 Te.upf
Rh 102.91 Rh.upf
CELL_PARAMETERS angstrom
5.1499 0.0000 0.0000
0.0000 5.1499 0.0000
0.0000 0.0000 5.1332
ATOMIC_POSITIONS crystal
Ta 0.5000 0.5000 0.5000
I 0.0000 0.0000 0.5000
Te 0.0000 0.5000 0.0000
Te 0.5000 0.0000 0.0000
Rh 0.0000 0.0000 0.0000
! formation energy (no corrections)	1020	meV per atom
! uncorrected energy	-4.3877	eV per atom
! energy above the most stable polymorph in this dataset	0.128	eV per atom

no.,size of the total moment (μB per atom)
1,0.000
2,0.211
3,0.001
4,0.000
5,0.261
6,0.000